# 1
VASP calculation (PBE) on a relaxed structure of GaC2S2.

Offset from the most stable computed form ... 0.0 kJ/mol of atoms
Calculated density ... 3.20 g cm⁻³
Total moment ... 0.00 μB per cell

a = 7.742 Å, b = 7.742 Å, c = 2.736 Å
α = 90.00°, β = 90.00°, γ = 90.00°
Positions (direct):
Ga: 0.000 0.000 0.000
Ga: 0.500 0.500 0.000
C: 0.241 0.259 0.000
C: 0.259 0.759 0.000
C: 0.741 0.241 0.000
C: 0.759 0.741 0.000
S: 0.146 0.354 0.500
S: 0.354 0.854 0.500
S: 0.646 0.146 0.500
S: 0.854 0.646 0.500

=====

# 2
VASP calculation (PBE) on a relaxed structure of GaC3S.

Offset from the most stable computed form ... 0.0 kJ/mol of atoms
Calculated density ... 4.67 g cm⁻³
Total moment ... 0.00 μB per cell

a = 3.659 Å, b = 3.659 Å, c = 3.659 Å
α = 90.00°, β = 90.00°, γ = 90.00°
Positions (direct):
Ga: 0.000 0.000 0.000
C: 0.000 0.500 0.500
C: 0.500 0.000 0.500
C: 0.500 0.500 0.000
S: 0.500 0.500 0.500

=====

# 3
VASP calculation (PBE) on a relaxed structure of GaCS3.

Offset from the most stable computed form ... 0.0 kJ/mol of atoms
Calculated density ... 4.05 g cm⁻³
Total moment ... 0.00 μB per cell

a = 4.177 Å, b = 4.177 Å, c = 4.177 Å
α = 90.00°, β = 90.00°, γ = 90.00°
Positions (direct):
Ga: 0.000 0.000 0.000
C: 0.500 0.500 0.500
S: 0.000 0.500 0.500
S: 0.500 0.000 0.500
S: 0.500 0.500 0.000

=====

# 4
VASP calculation (PBE) on a relaxed structure of Ga2CS.

Offset from the most stable computed form ... 0.0 kJ/mol of atoms
Calculated density ... 4.70 g cm⁻³
Total moment ... 0.00 μB per cell

a = 6.133 Å, b = 6.133 Å, c = 6.133 Å
α = 130.64°, β = 130.64°, γ = 72.38°
Positions (direct):
Ga: 0.050 0.625 0.925
Ga: 0.375 0.300 0.425
Ga: 0.700 0.125 0.075
Ga: 0.875 0.950 0.575
C: 0.000 0.000 0.000
C: 0.750 0.250 0.500
S: 0.250 0.750 0.500
S: 0.500 0.500 0.000

=====

# 5
VASP calculation (PBE) on a relaxed structure of GaSbC2S.

E_tot ... -20.20 eV/f.u.
Calculated density ... 5.48 g cm⁻³
Total moment ... 0.00 μB per cell

a = 3.902 Å, b = 3.902 Å, c = 4.928 Å
α = 90.00°, β = 90.00°, γ = 90.00°
Positions (direct):
Ga: 0.000 0.000 0.000
Sb: 0.500 0.500 0.000
C: 0.000 0.500 0.500
C: 0.500 0.000 0.500
S: 0.000 0.000 0.500

=====

# 6
VASP calculation (PBE) on a relaxed structure of Tb8Ga3CS3.

E_tot ... -83.52 eV/f.u.
Calculated density ... 7.12 g cm⁻³
Total moment ... 0.00 μB per cell

a = 8.471 Å, b = 8.471 Å, c = 8.471 Å
α = 54.09°, β = 54.09°, γ = 54.09°
Positions (direct):
Tb: 0.243 0.243 0.243
Tb: 0.267 0.721 0.721
Tb: 0.279 0.279 0.733
Tb: 0.279 0.733 0.279
Tb: 0.721 0.267 0.721
Tb: 0.721 0.721 0.267
Tb: 0.733 0.279 0.279
Tb: 0.757 0.757 0.757
Ga: 0.000 0.500 0.500
Ga: 0.500 0.000 0.500
Ga: 0.500 0.500 0.000
C: 0.500 0.500 0.500
S: 0.000 0.000 0.500
S: 0.000 0.500 0.000
S: 0.500 0.000 0.000

=====

# 7
VASP calculation (PBE) on a relaxed structure of GaSb2C.

Offset from the most stable computed form ... 0.0 kJ/mol of atoms
Calculated density ... 5.74 g cm⁻³
Total moment ... 0.00 μB per cell

a = 7.065 Å, b = 7.065 Å, c = 7.065 Å
α = 132.47°, β = 132.47°, γ = 69.49°
Positions (direct):
Ga: 0.000 0.000 0.000
Ga: 0.750 0.250 0.500
Sb: 0.184 0.625 0.059
Sb: 0.375 0.434 0.559
Sb: 0.566 0.125 0.941
Sb: 0.875 0.816 0.441
C: 0.250 0.750 0.500
C: 0.500 0.500 0.000

=====

# 8
VASP calculation (PBE) on a relaxed structure of GaSb2C.

Offset from the most stable computed form ... 56.9 kJ/mol of atoms
Calculated density ... 6.99 g cm⁻³
Total moment ... 0.00 μB per cell

a = 4.780 Å, b = 4.780 Å, c = 4.780 Å
α = 60.00°, β = 60.00°, γ = 60.00°
Positions (direct):
Ga: 0.000 0.000 0.000
Sb: 0.250 0.250 0.250
Sb: 0.750 0.750 0.750
C: 0.500 0.500 0.500